Computed, not measured: a relaxed structure of Gd2MgRh at the PBE level of DFT.

a = 3.892 Å, b = 3.892 Å, c = 8.881 Å
α = 77.34°, β = 77.34°, γ = 60.00°
Last column: magnetic moment on the atom in μB.
Fractional positions:
Rh  0.000  0.000  0.000  -0.03
Gd  0.730  0.730  0.810  7.02
Gd  0.270  0.270  0.190  7.02
Mg  0.500  0.500  0.500  0.00

Results
Polymorph energy (0 for the lowest one)   0.40 eV per formula unit
Magnetic moment   14.3 μB per formula unit
Energy of formation from the pure elements   -353 meV/atom